Record 1
This record from Alexandria describes a relaxed structure of Ti3Ir. The functional is PBE.

Summary:
Formation energy = -0.41 eV per atom
Crystal system = tetragonal
Final energy = -34.18 eV for the cell shown

abc: 3.7133 3.7133 5.3084
angles: 110.47 110.47 90.00
Atoms (fractional coordinates):
Ir  0.0000  0.0000  0.0000
Ti  0.7500  0.2500  0.5000
Ti  0.2500  0.7500  0.5000
Ti  0.5000  0.5000  0.0000



Record 2
This record from Alexandria describes a relaxed structure of TiIr3. The functional is PBE.

Summary:
Formation energy = -0.54 eV per atom
Crystal system = orthorhombic
Final energy = -36.63 eV for the cell shown

abc: 2.7913 4.7864 5.1891
angles: 117.46 105.60 90.00
Atoms (fractional coordinates):
Ir  0.2497  0.5813  0.4993
Ir  0.5000  0.5000  0.0000
Ir  0.7503  0.0820  0.5007
Ti  0.0000  0.0034  0.0000



Record 3
This record from Alexandria describes a relaxed structure of TiIr. The functional is PBE.

Summary:
Formation energy = -0.47 eV per atom
Crystal system = orthorhombic
Final energy = -283.10 eV for the cell shown

abc: 9.8708 7.9782 6.7529
angles: 90.00 90.00 90.00
Atoms (fractional coordinates):
Ti  0.0000  0.1926  0.0000
Ti  0.0000  0.8074  0.0000
Ti  0.2500  0.5574  0.2500
Ti  0.2500  0.9426  0.2500
Ti  0.0000  0.6926  0.5000
Ti  0.0000  0.3074  0.5000
Ti  0.2500  0.0574  0.7500
Ti  0.2500  0.4426  0.7500
Ti  0.5000  0.1926  0.5000
Ti  0.5000  0.8074  0.5000
Ti  0.7500  0.5574  0.7500
Ti  0.7500  0.9426  0.7500
Ti  0.5000  0.6926  0.0000
Ti  0.5000  0.3074  0.0000
Ti  0.7500  0.0574  0.2500
Ti  0.7500  0.4426  0.2500
Ir  0.0000  0.0000  0.3028
Ir  0.0000  0.0000  0.6972
Ir  0.2500  0.7500  0.9472
Ir  0.2500  0.7500  0.5528
Ir  0.0000  0.5000  0.8028
Ir  0.0000  0.5000  0.1972
Ir  0.2500  0.2500  0.4472
Ir  0.2500  0.2500  0.0528
Ir  0.5000  0.0000  0.8028
Ir  0.5000  0.0000  0.1972
Ir  0.7500  0.7500  0.4472
Ir  0.7500  0.7500  0.0528
Ir  0.5000  0.5000  0.3028
Ir  0.5000  0.5000  0.6972
Ir  0.7500  0.2500  0.9472
Ir  0.7500  0.2500  0.5528



Record 4
This record from Alexandria describes a relaxed structure of TiIr. The functional is PBE.

Summary:
Formation energy = 0.50 eV per atom
Crystal system = cubic
Final energy = -126.11 eV for the cell shown

abc: 7.6246 7.6246 7.6246
angles: 90.00 90.00 90.00
Atoms (fractional coordinates):
Ti  0.1888  0.1888  0.1888
Ti  0.1888  0.8112  0.8112
Ti  0.8112  0.1888  0.8112
Ti  0.8112  0.8112  0.1888
Ti  0.6888  0.6888  0.6888
Ti  0.6888  0.3112  0.3112
Ti  0.3112  0.6888  0.3112
Ti  0.3112  0.3112  0.6888
Ir  0.3676  0.3676  0.3676
Ir  0.3676  0.6324  0.6324
Ir  0.6324  0.3676  0.6324
Ir  0.6324  0.6324  0.3676
Ir  0.8676  0.8676  0.8676
Ir  0.8676  0.1324  0.1324
Ir  0.1324  0.8676  0.1324
Ir  0.1324  0.1324  0.8676



Record 5
This record from Alexandria describes a relaxed structure of Ti3Ir. The functional is PBE.

Summary:
Formation energy = -0.40 eV per atom
Crystal system = cubic
Final energy = -34.13 eV for the cell shown

abc: 4.0033 4.0033 4.0033
angles: 90.00 90.00 90.00
Atoms (fractional coordinates):
Ir  0.0000  0.0000  0.0000
Ti  0.0000  0.5000  0.5000
Ti  0.5000  0.0000  0.5000
Ti  0.5000  0.5000  0.0000



Record 6
This record from Alexandria describes a relaxed structure of TiIr3. The functional is PBE.

Summary:
Formation energy = -0.72 eV per atom
Crystal system = cubic
Final energy = -37.34 eV for the cell shown

abc: 3.8752 3.8758 3.8756
angles: 90.00 90.00 90.00
Atoms (fractional coordinates):
Ir  0.0000  0.0000  0.0833
Ir  0.0000  0.5000  0.5833
Ir  0.5000  0.5000  0.0834
Ti  0.5000  0.0000  0.5834



Record 7
This record from Alexandria describes a relaxed structure of TiIr. The functional is PBE.

Summary:
Formation energy = -0.52 eV per atom
Crystal system = monoclinic
Final energy = -35.58 eV for the cell shown

abc: 4.5239 2.9133 5.0654
angles: 90.00 112.39 90.00
Atoms (fractional coordinates):
Ir  0.0000  0.0000  0.0000
Ir  0.0000  0.5000  0.5000
Ti  0.5000  0.0000  0.5000
Ti  0.5000  0.5000  0.0000



Record 8
This record from Alexandria describes a relaxed structure of TiIr. The functional is PBE.

Summary:
Formation energy = -0.57 eV per atom
Crystal system = orthorhombic
Final energy = -107.33 eV for the cell shown

abc: 2.8912 4.5634 14.2536
angles: 90.00 90.00 90.00
Atoms (fractional coordinates):
Ti  0.0000  0.8695  0.6667
Ti  0.5000  0.1305  0.8333
Ti  0.5000  0.1305  0.1667
Ti  0.0000  0.8695  0.3333
Ti  0.0000  0.8691  0.0000
Ti  0.5000  0.1309  0.5000
Ir  0.0000  0.6428  0.8333
Ir  0.5000  0.3572  0.6667
Ir  0.5000  0.3572  0.3333
Ir  0.0000  0.6428  0.1667
Ir  0.0000  0.6432  0.5000
Ir  0.5000  0.3568  0.0000



Record 9
This record from Alexandria describes a relaxed structure of Ti4Ir3. The functional is PBE.

Summary:
Formation energy = -0.78 eV per atom
Crystal system = triclinic
Final energy = -127.30 eV for the cell shown

abc: 5.4009 7.1894 6.8376
angles: 112.54 104.47 107.82
Atoms (fractional coordinates):
Ti  0.5000  0.0000  0.0000
Ti  0.0000  0.0000  0.0000
Ti  0.9056  0.7067  0.5696
Ti  0.3618  0.4314  0.1510
Ti  0.2062  0.8557  0.2864
Ti  0.0944  0.2933  0.4304
Ti  0.6382  0.5686  0.8490
Ti  0.7938  0.1443  0.7136
Ir  0.1432  0.5775  0.8617
Ir  0.2864  0.1460  0.7147
Ir  0.5862  0.2706  0.4250
Ir  0.8568  0.4225  0.1383
Ir  0.7136  0.8540  0.2853
Ir  0.4138  0.7294  0.5750



Record 10
This record from Alexandria describes a relaxed structure of TiIr3. The functional is PBE.

Summary:
Formation energy = -0.59 eV per atom
Crystal system = tetragonal
Final energy = -36.85 eV for the cell shown

abc: 3.8808 3.8808 4.7568
angles: 114.07 114.07 90.00
Atoms (fractional coordinates):
Ir  0.7500  0.2500  0.5000
Ir  0.2500  0.7500  0.5000
Ir  0.5000  0.5000  0.0000
Ti  0.0000  0.0000  0.0000



Record 11
This record from Alexandria describes a relaxed structure of Ti3Ir. The functional is PBE.

Summary:
Formation energy = -0.57 eV per atom
Crystal system = cubic
Final energy = -69.65 eV for the cell shown

abc: 5.0103 5.0103 5.0103
angles: 90.00 90.00 90.00
Atoms (fractional coordinates):
Ti  0.5000  0.2500  0.0000
Ti  0.5000  0.7500  0.0000
Ti  0.2500  0.0000  0.5000
Ti  0.7500  0.0000  0.5000
Ti  0.0000  0.5000  0.2500
Ti  0.0000  0.5000  0.7500
Ir  0.5000  0.5000  0.5000
Ir  0.0000  0.0000  0.0000



Record 12
This record from Alexandria describes a relaxed structure of TiIr. The functional is PBE.

Summary:
Formation energy = 0.56 eV per atom
Crystal system = cubic
Final energy = -93.80 eV for the cell shown

abc: 6.9279 6.9279 6.9279
angles: 90.00 90.00 90.00
Atoms (fractional coordinates):
Ti  0.2500  0.0000  0.5000
Ti  0.7500  0.0000  0.5000
Ti  0.0000  0.5000  0.2500
Ti  0.0000  0.5000  0.7500
Ti  0.5000  0.2500  0.0000
Ti  0.5000  0.7500  0.0000
Ir  0.2500  0.5000  0.0000
Ir  0.7500  0.5000  0.0000
Ir  0.5000  0.0000  0.2500
Ir  0.5000  0.0000  0.7500
Ir  0.0000  0.2500  0.5000
Ir  0.0000  0.7500  0.5000